Density functional theory data (SCAN) for a crystal of PrTi2Al20 relaxed with PBEsol.

a = 10.341 Å, b = 10.341 Å, c = 10.341 Å
α = 60.00°, β = 60.00°, γ = 60.00°
Positions (direct):
Al1 0.888 0.888 0.612
Al2 0.638 0.362 0.638
Al3 0.362 0.638 0.362
Al4 0.451 0.181 0.917
Al5 0.799 0.799 0.333
Al6 0.612 0.888 0.888
Al7 0.362 0.362 0.638
Al8 0.888 0.612 0.888
Al9 0.333 0.799 0.069
Al10 0.799 0.799 0.069
Al11 0.125 0.125 0.125
Al12 0.362 0.638 0.638
Al13 0.799 0.333 0.069
Al14 0.069 0.799 0.333
Al15 0.451 0.451 0.181
Al16 0.917 0.451 0.181
Al17 0.181 0.451 0.917
Al18 0.125 0.625 0.125
Al19 0.917 0.181 0.451
Al20 0.333 0.069 0.799
Al21 0.181 0.917 0.451
Al22 0.799 0.069 0.333
Al23 0.612 0.888 0.612
Al24 0.638 0.362 0.362
Al25 0.799 0.069 0.799
Al26 0.888 0.612 0.612
Al27 0.181 0.451 0.451
Al28 0.612 0.612 0.888
Al29 0.917 0.451 0.451
Al30 0.638 0.638 0.362
Al31 0.069 0.333 0.799
Al32 0.451 0.917 0.181
Al33 0.125 0.125 0.625
Al34 0.451 0.451 0.917
Al35 0.799 0.333 0.799
Al36 0.069 0.799 0.799
Al37 0.451 0.917 0.451
Al38 0.625 0.125 0.125
Al39 0.451 0.181 0.451
Al40 0.333 0.799 0.799
Ti1 0.625 0.625 0.625
Ti2 0.625 0.625 0.125
Ti3 0.625 0.125 0.625
Ti4 0.125 0.625 0.625
Pr1 0.250 0.250 0.250
Pr2 0.000 0.000 0.000

Results
energy of formation from the pure elements	-247.0	meV per atom
DOS at the Fermi energy	7.6	states/eV/f.u.
total DFT energy (no corrections)	-10.27	eV per atom
space group	Fd-3m, No. 227